[1]
! Dy2TmIn5 | Alexandria via LeMat-Bulk | PBE | optimized geometry; values from VASP
! - Formation energy from the elements: -0.407 eV/atom
&SYSTEM
  ibrav = 0, nat = 8, ntyp = 3
/
ATOMIC_SPECIES
Dy 162.50 Dy.upf
In 114.82 In.upf
Tm 168.93 Tm.upf
CELL_PARAMETERS angstrom
-3.391 5.389 1.259
-0.438 -4.566 4.592
6.431 0.865 -0.150
ATOMIC_POSITIONS angstrom
Dy 2.913 2.266 1.588
Dy -0.521 -0.449 3.959
In 2.671 -0.213 3.625
In 1.346 -2.939 3.141
In 4.340 -0.572 1.074
In 4.571 -2.823 3.389
In -0.376 2.091 1.850
Tm 0.913 -0.564 0.677

***

[2]
! Al4Pd3Au2 | Alexandria via LeMat-Bulk | PBE | optimized geometry; values from VASP
! - Formation energy from the elements: -0.613 eV/atom
&SYSTEM
  ibrav = 0, nat = 9, ntyp = 3
/
ATOMIC_SPECIES
Au 196.97 Au.upf
Al 26.98 Al.upf
Pd 106.42 Pd.upf
CELL_PARAMETERS angstrom
-2.170 -1.646 -3.424
4.122 1.441 -0.511
2.818 -7.618 1.875
ATOMIC_POSITIONS angstrom
Au 0.549 -2.293 -2.041
Au 4.221 -5.530 -0.018
Al 2.324 -0.391 -1.285
Al 3.822 -5.279 -2.681
Al 2.446 -7.432 -0.774
Al 0.948 -2.544 0.622
Pd 3.194 -2.738 -0.709
Pd 0.000 0.000 0.000
Pd 1.576 -5.085 -1.350

***

[3]
! YHf2Tl2 | Alexandria via LeMat-Bulk | PBE | optimized geometry; values from VASP
! - Formation energy from the elements: 0.156 eV/atom
! - Energy above the most stable polymorph in this dataset: 0.055 eV/atom
&SYSTEM
  ibrav = 0, nat = 10, ntyp = 3
/
ATOMIC_SPECIES
Tl 204.38 Tl.upf
Hf 178.49 Hf.upf
Y 88.91 Y.upf
CELL_PARAMETERS angstrom
-7.679 -3.603 2.350
3.445 -2.272 7.775
-0.933 2.791 1.229
ATOMIC_POSITIONS angstrom
Tl -5.683 -2.316 5.082
Tl 0.516 -0.767 6.272
Tl -2.362 -0.173 2.738
Tl -2.806 -2.911 8.616
Hf 0.121 -3.358 7.717
Hf 0.369 -1.298 3.227
Hf -4.355 -2.517 2.407
Hf -4.603 -4.577 6.898
Y 0.000 0.000 0.000
Y -2.117 -2.937 5.062

***

[4]
! Li2Nd3Au4 | Alexandria via LeMat-Bulk | PBE | optimized geometry; values from VASP
! - Formation energy from the elements: -0.650 eV/atom
&SYSTEM
  ibrav = 0, nat = 9, ntyp = 3
/
ATOMIC_SPECIES
Li 6.94 Li.upf
Au 196.97 Au.upf
Nd 144.24 Nd.upf
CELL_PARAMETERS angstrom
4.296 0.000 1.269
1.833 5.567 1.701
-0.205 0.136 8.601
ATOMIC_POSITIONS angstrom
Li 3.206 5.563 4.962
Li 2.719 0.140 6.610
Au 4.049 3.736 10.013
Au 0.655 1.453 5.688
Au 1.875 1.967 1.559
Au 5.269 4.250 5.884
Nd 2.486 3.453 7.399
Nd 3.439 2.250 4.172
Nd 0.000 0.000 0.000

***

[5]
! AlCu2AsO6 | Alexandria via LeMat-Bulk | PBE | optimized geometry; values from VASP
! - ΔE_f (raw): -1.2521 eV per atom
&SYSTEM
  ibrav = 0, nat = 10, ntyp = 4
/
ATOMIC_SPECIES
O 16.00 O.upf
As 74.92 As.upf
Cu 63.55 Cu.upf
Al 26.98 Al.upf
CELL_PARAMETERS angstrom
-0.972 -4.545 1.889
2.355 -1.547 4.151
-2.768 -0.313 4.486
ATOMIC_POSITIONS angstrom
O 1.358 -2.454 5.511
O -0.265 -5.353 5.407
O -0.824 -3.050 3.075
O -2.558 -3.535 5.150
O -1.169 -1.376 5.465
O -0.923 -3.329 7.143
As 0.329 -1.960 2.115
Cu -2.552 -0.427 4.320
Cu -0.407 -3.355 5.044
Al -0.425 -5.131 7.424

***

[6]
! ThMnC2 | Alexandria via LeMat-Bulk | PBE | optimized geometry; values from VASP
! - Formation energy from the elements: 0.687 eV/atom
&SYSTEM
  ibrav = 0, nat = 4, ntyp = 3
/
ATOMIC_SPECIES
C 12.01 C.upf
Mn 54.94 Mn.upf
Th 232.04 Th.upf
CELL_PARAMETERS angstrom
3.949 0.000 0.000
1.975 3.420 0.000
1.975 1.140 5.741
ATOMIC_POSITIONS angstrom
C 1.975 1.140 3.935
C 5.924 3.420 1.807
Mn 0.000 0.000 0.000
Th 3.949 2.280 2.871